{
  "formula": "PmLuAgPd",
  "functional": "GGA-PBE",
  "state": "optimized geometry",
  "e_form_ev_per_atom": -0.57,
  "dft_energy_ev_per_atom": -4.90,
  "dos_ef_per_ev_cell": 2.7,
  "lattice": [[0.000, 3.584, 3.584], [3.584, 0.000, 3.584], [3.584, 3.584, 0.000]],
  "species": ["Pm", "Lu", "Ag", "Pd"],
  "frac_coords": [[0.000, 0.000, 0.000], [0.500, 0.500, 0.500], [0.750, 0.750, 0.750], [0.250, 0.250, 0.250]]
}